Density functional theory data (PBE) for an optimized crystal structure of Sr2MgIn7.

a b c (Å): 4.806 4.806 12.713
angles (deg): 90.00 90.00 90.00
Positions (direct):
Sr (0.000, 0.500, 0.249)
Sr (0.500, 0.000, 0.751)
Mg (0.500, 0.500, 0.000)
In (0.000, 0.000, 0.000)
In (0.000, 0.000, 0.500)
In (0.000, 0.500, 0.640)
In (0.000, 0.500, 0.863)
In (0.500, 0.000, 0.137)
In (0.500, 0.000, 0.360)
In (0.500, 0.500, 0.500)

Summary:
**V**: 29.360 Å³ per atom
**Calculated formation energy**: -0.285 eV per atom
**N(E_F)**: 3.194 states/eV per cell